! GGA+U KMnI2O, relaxed; values from VASP
&SYSTEM
  ibrav = 0, nat = 5, ntyp = 4
/
ATOMIC_SPECIES
I 126.90 I.upf
K 39.10 K.upf
Mn 54.94 Mn.upf
O 16.00 O.upf
CELL_PARAMETERS angstrom
-0.9133 4.0547 5.2243
-0.2744 -2.9345 2.2296
6.5945 0.1631 1.0263
ATOMIC_POSITIONS crystal
I 0.0000 0.0000 0.5000
I 0.5000 0.0000 0.0000
K 0.5000 0.5000 0.5000
Mn 0.0000 0.5000 0.0000
O 0.0000 0.0000 0.0000
! Relative energy among the computed polymorphs in eV per atom: 0.149
! N(E_F) in states/eV/f.u.: 3.1
! Space group: P4/mmm, No. 123
! Total magnetic moment in μB/f.u.: 4.3
! Total DFT energy (no corrections) in eV/atom: -4.131